Model P:
{"formula": "TaAsPdO", "functional": "PBE", "state": "relaxed", "lattice_angstrom": [[2.994, -2.993, 0.000], [2.994, 2.993, 0.000], [0.000, 0.000, 6.826]], "species": ["Ta", "Ta", "Pd", "Pd", "O", "O", "As", "As"], "frac_coords": [[0.750, 0.250, 0.500], [0.250, 0.750, 0.500], [0.750, 0.750, 0.917], [0.250, 0.250, 0.083], [0.750, 0.250, 0.000], [0.250, 0.750, 0.000], [0.250, 0.250, 0.714], [0.750, 0.750, 0.286]], "magmom_total_mub_per_cell": 0.0, "space_group": "P4/nmm (129)", "crystal_system": "tetragonal"}

Model Q:
{"formula": "TaAsPdO", "functional": "PBE", "state": "relaxed", "lattice_angstrom": [[-3.341, -0.663, -1.291], [1.047, -3.345, -0.990], [-2.313, -2.944, 7.499]], "species": ["Ta", "Ta", "As", "As", "O", "O", "Pd", "Pd"], "frac_coords": [[0.250, 0.250, 0.154], [0.750, 0.750, 0.846], [0.750, 0.750, 0.281], [0.250, 0.250, 0.719], [0.750, 0.250, 0.000], [0.250, 0.750, 0.000], [0.750, 0.250, 0.500], [0.250, 0.750, 0.500]], "magmom_total_mub_per_cell": 0.0, "space_group": "P4/nmm (129)", "crystal_system": "tetragonal"}

Least stable structure: model P

Model P:
{"formula": "TbAsPdO", "functional": "PBE", "state": "relaxed", "lattice_angstrom": [[-2.811, -4.484, 2.293], [4.860, -3.104, -0.114], [1.063, 1.508, 4.252]], "species": ["Pd", "Pd", "Tb", "Tb", "O", "O", "As", "As"], "frac_coords": [[0.250, 0.250, 0.002], [0.750, 0.750, 0.998], [0.750, 0.250, 0.500], [0.250, 0.750, 0.500], [0.250, 0.750, 0.000], [0.750, 0.250, 0.000], [0.250, 0.250, 0.502], [0.750, 0.750, 0.498]], "magmom_total_mub_per_cell": 0.0, "space_group": "P4/nmm (129)", "crystal_system": "tetragonal"}

Model Q:
{"formula": "TbAsPdO", "functional": "PBE", "state": "relaxed", "lattice_angstrom": [[4.115, 0.000, 0.000], [0.000, 4.115, 0.000], [0.000, 0.000, 7.983]], "species": ["Tb", "Tb", "O", "O", "Pd", "Pd", "As", "As"], "frac_coords": [[0.750, 0.750, 0.871], [0.250, 0.250, 0.129], [0.250, 0.750, 0.000], [0.750, 0.250, 0.000], [0.250, 0.750, 0.500], [0.750, 0.250, 0.500], [0.750, 0.750, 0.323], [0.250, 0.250, 0.677]], "magmom_total_mub_per_cell": 0.0, "space_group": "P4/nmm (129)", "crystal_system": "tetragonal"}

Least stable structure: model P

Model P:
{"formula": "TbAsPdO", "functional": "PBE", "state": "relaxed", "lattice_angstrom": [[4.665, 0.000, 0.000], [0.000, 4.429, 0.000], [0.000, 0.000, 6.607]], "species": ["Pd", "Pd", "Tb", "Tb", "As", "As", "O", "O"], "frac_coords": [[0.000, 0.848, 0.440], [0.000, 0.152, 0.940], [0.500, 0.707, 0.092], [0.500, 0.293, 0.592], [0.000, 0.655, 0.787], [0.000, 0.345, 0.287], [0.500, 0.821, 0.435], [0.500, 0.179, 0.935]], "magmom_total_mub_per_cell": 0.0, "space_group": "Pmc2_1 (26)", "crystal_system": "orthorhombic"}

Model Q:
{"formula": "TbAsPdO", "functional": "PBE", "state": "relaxed", "lattice_angstrom": [[5.705, 0.000, 0.000], [0.000, 3.218, 0.000], [-0.011, 0.000, 7.270]], "species": ["O", "O", "As", "As", "Pd", "Pd", "Tb", "Tb"], "frac_coords": [[0.567, 0.500, 0.004], [0.067, 0.500, 0.996], [0.061, 0.000, 0.499], [0.560, 0.000, 0.501], [0.812, 0.500, 0.295], [0.314, 0.500, 0.706], [0.314, 0.000, 0.124], [0.813, 0.000, 0.876]], "magmom_total_mub_per_cell": 0.0, "space_group": "Pm (6)", "crystal_system": "monoclinic"}

Least stable structure: model P

Model P:
{"formula": "TmAsPdO", "functional": "PBE", "state": "relaxed", "lattice_angstrom": [[-3.251, -3.517, -3.008], [-1.620, -2.578, 4.766], [-3.534, 2.936, 0.387]], "species": ["As", "As", "O", "O", "Tm", "Tm", "Pd", "Pd"], "frac_coords": [[0.750, 0.750, 0.496], [0.250, 0.250, 0.504], [0.250, 0.750, 0.000], [0.750, 0.250, 0.000], [0.250, 0.750, 0.500], [0.750, 0.250, 0.500], [0.250, 0.250, 0.003], [0.750, 0.750, 0.997]], "magmom_total_mub_per_cell": 0.0, "space_group": "P4/nmm (129)", "crystal_system": "tetragonal"}

Model Q:
{"formula": "TmAsPdO", "functional": "PBE", "state": "relaxed", "lattice_angstrom": [[-1.146, -4.726, -0.472], [4.252, -1.182, 1.508], [-1.963, -0.072, 5.480]], "species": ["O", "O", "As", "As", "Pd", "Pd", "Tm", "Tm"], "frac_coords": [[0.500, 0.856, 0.441], [0.500, 0.144, 0.941], [0.000, 0.406, 0.288], [0.000, 0.594, 0.788], [0.000, 0.090, 0.935], [0.000, 0.910, 0.435], [0.500, 0.276, 0.591], [0.500, 0.724, 0.091]], "magmom_total_mub_per_cell": 0.0, "space_group": "Pmc2_1 (26)", "crystal_system": "orthorhombic"}

Model R:
{"formula": "TmAsPdO", "functional": "PBE", "state": "relaxed", "lattice_angstrom": [[-1.107, -2.902, 2.607], [-2.003, -1.903, -2.969], [6.562, -4.112, -1.790]], "species": ["Tm", "Tm", "O", "O", "Pd", "Pd", "As", "As"], "frac_coords": [[0.000, 0.500, 0.875], [0.500, 0.000, 0.125], [0.500, 0.500, 0.000], [0.000, 0.000, 0.000], [0.500, 0.500, 0.500], [0.000, 0.000, 0.500], [0.000, 0.500, 0.317], [0.500, 0.000, 0.683]], "magmom_total_mub_per_cell": 0.0, "space_group": "P4/nmm (129)", "crystal_system": "tetragonal"}

Model S:
{"formula": "TmAsPdO", "functional": "PBE", "state": "relaxed", "lattice_angstrom": [[3.491, 0.000, 0.000], [0.000, 7.812, 0.000], [0.000, 0.000, 5.394]], "species": ["As", "As", "Pd", "Pd", "O", "O", "Tm", "Tm"], "frac_coords": [[0.000, 0.074, 0.918], [0.000, 0.926, 0.418], [0.500, 0.712, 0.427], [0.500, 0.288, 0.927], [0.500, 0.574, 0.001], [0.500, 0.426, 0.501], [0.000, 0.702, 0.909], [0.000, 0.298, 0.409]], "magmom_total_mub_per_cell": 0.0, "space_group": "Pmc2_1 (26)", "crystal_system": "orthorhombic"}

Least stable structure: model P

Model P:
{"formula": "YAsPdO", "functional": "PBE", "state": "relaxed", "lattice_angstrom": [[-1.746, -0.143, -4.361], [2.445, -3.631, -0.859], [-4.874, -3.773, 2.075]], "species": ["O", "O", "Y", "Y", "As", "As", "Pd", "Pd"], "frac_coords": [[0.500, 0.329, 0.435], [0.500, 0.671, 0.935], [0.500, 0.793, 0.592], [0.500, 0.207, 0.092], [0.000, 0.144, 0.787], [0.000, 0.856, 0.287], [0.000, 0.360, 0.440], [0.000, 0.640, 0.940]], "magmom_total_mub_per_cell": 0.0, "space_group": "Pmc2_1 (26)", "crystal_system": "orthorhombic"}

Model Q:
{"formula": "YAsPdO", "functional": "PBE", "state": "relaxed", "lattice_angstrom": [[-2.001, -2.793, 2.264], [1.206, -2.962, -2.589], [6.557, -1.151, 4.373]], "species": ["O", "O", "Pd", "Pd", "As", "As", "Y", "Y"], "frac_coords": [[0.250, 0.750, 0.000], [0.750, 0.250, 0.000], [0.750, 0.250, 0.500], [0.250, 0.750, 0.500], [0.250, 0.250, 0.677], [0.750, 0.750, 0.323], [0.250, 0.250, 0.129], [0.750, 0.750, 0.871]], "magmom_total_mub_per_cell": 0.0, "space_group": "P4/nmm (129)", "crystal_system": "tetragonal"}

Model R:
{"formula": "YAsPdO", "functional": "PBE", "state": "relaxed", "lattice_angstrom": [[3.573, 0.000, 0.000], [0.000, 7.887, 0.000], [0.000, 0.000, 5.554]], "species": ["O", "O", "Pd", "Pd", "Y", "Y", "As", "As"], "frac_coords": [[0.500, 0.427, 0.450], [0.500, 0.573, 0.950], [0.500, 0.290, 0.938], [0.500, 0.710, 0.438], [0.000, 0.288, 0.434], [0.000, 0.712, 0.934], [0.000, 0.082, 0.933], [0.000, 0.918, 0.433]], "magmom_total_mub_per_cell": 0.0, "space_group": "Pmc2_1 (26)", "crystal_system": "orthorhombic"}

Model S:
{"formula": "YAsPdO", "functional": "PBE", "state": "relaxed", "lattice_angstrom": [[-1.140, 3.190, 4.647], [4.067, -2.817, 2.932], [3.143, 3.116, -1.367]], "species": ["Pd", "Pd", "Y", "Y", "O", "O", "As", "As"], "frac_coords": [[0.000, 0.500, 0.999], [0.500, 0.000, 0.001], [0.000, 0.000, 0.500], [0.500, 0.500, 0.500], [0.000, 0.000, 0.000], [0.500, 0.500, 0.000], [0.500, 0.000, 0.501], [0.000, 0.500, 0.499]], "magmom_total_mub_per_cell": 0.0, "space_group": "P4/nmm (129)", "crystal_system": "tetragonal"}

Least stable structure: model S

Model P:
{"formula": "ZnAsPdO", "functional": "PBE", "state": "relaxed", "lattice_angstrom": [[4.054, 0.000, 0.000], [0.000, 4.054, 0.000], [0.000, 0.000, 8.693]], "species": ["As", "As", "Pd", "Pd", "Zn", "Zn", "O", "O"], "frac_coords": [[0.750, 0.750, 0.338], [0.250, 0.250, 0.662], [0.750, 0.250, 0.500], [0.250, 0.750, 0.500], [0.750, 0.750, 0.030], [0.250, 0.250, 0.970], [0.750, 0.250, 0.000], [0.250, 0.750, 0.000]], "space_group": "P4/nmm (129)", "crystal_system": "tetragonal"}

Model Q:
{"formula": "ZnAsPdO", "functional": "PBE", "state": "relaxed", "lattice_angstrom": [[4.335, 0.000, 0.000], [0.000, 5.415, 0.000], [0.000, 0.000, 5.266]], "species": ["Pd", "Pd", "O", "O", "As", "As", "Zn", "Zn"], "frac_coords": [[0.000, 0.192, 0.931], [0.000, 0.808, 0.431], [0.500, 0.836, 0.406], [0.500, 0.164, 0.906], [0.000, 0.342, 0.386], [0.000, 0.658, 0.886], [0.500, 0.816, 0.031], [0.500, 0.184, 0.531]], "space_group": "Pmc2_1 (26)", "crystal_system": "orthorhombic"}

Model R:
{"formula": "ZnAsPdO", "functional": "PBE", "state": "relaxed", "lattice_angstrom": [[3.883, 0.000, 0.000], [0.000, 3.883, 0.000], [0.000, 0.000, 8.105]], "species": ["O", "O", "As", "As", "Pd", "Pd", "Zn", "Zn"], "frac_coords": [[0.250, 0.750, 0.000], [0.750, 0.250, 0.000], [0.750, 0.750, 0.286], [0.250, 0.250, 0.714], [0.250, 0.250, 0.108], [0.750, 0.750, 0.892], [0.750, 0.250, 0.500], [0.250, 0.750, 0.500]], "space_group": "P4/nmm (129)", "crystal_system": "tetragonal"}

Least stable structure: model R